No. 1
Material: SiHgW2
Method: DFT, PBE
State: optimized geometry

The structure belongs to space group Pm (No. 6); the cell edges are 2.897, 4.511 and 5.355 Å and the angles 90.00°, 103.18° and 90.00°. The asymmetric unit holds Si at (0.000, 0.000, 0.000), Hg at (0.299, 0.500, 0.737), W at (0.707, 0.000, 0.435) and W at (0.959, 0.500, 0.217).

The relative energy among the computed polymorphs comes out at 161 meV per atom. As for the crystal system: monoclinic. The calculation puts the total energy at -7.3284 eV/atom. The value obtained for the uncorrected formation energy is 0.58 eV per atom.

---

No. 2
Material: SiHgW2
Method: DFT, PBE
State: optimized geometry

The structure belongs to space group P2/m (No. 10); the cell edges are 2.844, 3.992 and 5.968 Å and the angles 90.00°, 99.48° and 90.00°. The asymmetric unit holds Si at (0.000, 0.000, 0.000), Hg at (0.000, 0.000, 0.500) and W at (0.423, 0.500, 0.206).

The relative energy among the computed polymorphs comes out at 118 meV per atom. As for the crystal system: monoclinic. The calculation puts the total energy at -7.3718 eV/atom. The value obtained for the uncorrected formation energy is 0.54 eV per atom.

---

No. 3
Material: SiHgW2
Method: DFT, PBE
State: optimized geometry

The structure belongs to space group Cmm2 (No. 35); the cell edges are 3.242, 4.541 and 9.873 Å and the angles 90.00°, 90.00° and 90.00°. The asymmetric unit holds Si at (0.000, 0.000, 0.000), Hg at (0.000, 0.500, 0.684), W at (0.000, 0.000, 0.425) and W at (0.000, 0.500, 0.207).

The relative energy among the computed polymorphs comes out at 44 meV per atom. As for the crystal system: orthorhombic. The calculation puts the total energy at -7.4454 eV/atom. The value obtained for the uncorrected formation energy is 0.46 eV per atom.

---

No. 4
Material: SiHgW2
Method: DFT, PBE
State: optimized geometry

The structure belongs to space group Pmmm (No. 47); the cell edges are 3.165, 4.517 and 4.668 Å and the angles 90.00°, 90.00° and 90.00°. The asymmetric unit holds Si at (0.000, 0.000, 0.000), Hg at (0.500, 0.000, 0.500), W at (0.000, 0.500, 0.500) and W at (0.500, 0.500, 0.000).

The relative energy among the computed polymorphs comes out at 311 meV per atom. As for the crystal system: orthorhombic. The calculation puts the total energy at -7.1789 eV/atom. The value obtained for the uncorrected formation energy is 0.73 eV per atom.

---

No. 5
Material: SiHg2W
Method: DFT, PBE
State: optimized geometry

The structure belongs to space group P4mm (No. 99); the cell edges are 2.862, 2.862 and 9.730 Å and the angles 90.00°, 90.00° and 90.00°. The asymmetric unit holds Si at (0.000, 0.000, 0.000), Hg at (0.000, 0.000, 0.422), Hg at (0.500, 0.500, 0.717) and W at (0.500, 0.500, 0.187).

As for the crystal system: tetragonal. The calculation puts the total energy at -4.1600 eV/atom. The value obtained for the uncorrected formation energy is 0.58 eV per atom.

---

No. 6
Material: SiHgW2
Method: DFT, PBE
State: optimized geometry

The structure belongs to space group I4/mmm (No. 139); the cell edges are 4.048, 4.048 and 8.042 Å and the angles 90.00°, 90.00° and 90.00°. The asymmetric unit holds Si at (0.000, 0.000, 0.000), Hg at (0.000, 0.000, 0.500) and W at (0.000, 0.500, 0.250).

The relative energy among the computed polymorphs comes out at 432 meV per atom. As for the crystal system: tetragonal. The calculation puts the total energy at -7.0579 eV/atom. The value obtained for the uncorrected formation energy is 0.85 eV per atom.

---

No. 7
Material: SiHg2W
Method: DFT, PBE
State: optimized geometry

The structure belongs to space group P4/mmm (No. 123); the cell edges are 5.161, 5.161 and 2.866 Å and the angles 90.00°, 90.00° and 90.00°. The asymmetric unit holds Si at (0.000, 0.000, 0.000), Hg at (0.000, 0.500, 0.500) and W at (0.500, 0.500, 0.000).

As for the crystal system: tetragonal. The calculation puts the total energy at -3.8234 eV/atom. The value obtained for the uncorrected formation energy is 0.92 eV per atom.

---

No. 8
Material: SiHg2W
Method: DFT, PBE
State: optimized geometry

The structure belongs to space group Cm (No. 8); the cell edges are 9.183, 2.804 and 8.662 Å and the angles 90.00°, 119.43° and 90.00°. The asymmetric unit holds Si at (0.000, 0.000, 0.000), Hg at (0.128, 0.000, 0.681), Hg at (0.451, 0.000, 0.333) and W at (0.234, 0.500, 0.010).

As for the crystal system: monoclinic. The calculation puts the total energy at -4.2642 eV/atom. The value obtained for the uncorrected formation energy is 0.48 eV per atom.

---

No. 9
Material: SiHgW2
Method: DFT, PBE
State: optimized geometry

The structure belongs to space group I-42d (No. 122); the cell edges are 3.842, 3.842 and 19.539 Å and the angles 90.00°, 90.00° and 90.00°. The asymmetric unit holds Si at (0.000, 0.000, 0.000), Hg at (0.000, 0.000, 0.500) and W at (0.220, 0.250, 0.125).

The relative energy among the computed polymorphs comes out at 486 meV per atom. As for the crystal system: tetragonal. The calculation puts the total energy at -7.0042 eV/atom. The value obtained for the uncorrected formation energy is 0.90 eV per atom.

---

No. 10
Material: SiHg2W
Method: DFT, PBE
State: optimized geometry

The structure belongs to space group C2/m (No. 12); the cell edges are 5.401, 9.770 and 2.956 Å and the angles 90.00°, 106.35° and 90.00°. The asymmetric unit holds Si at (0.000, 0.000, 0.000), Hg at (0.250, 0.250, 0.500) and W at (0.000, 0.500, 0.000).

As for the crystal system: monoclinic. The calculation puts the total energy at -3.9502 eV/atom. The value obtained for the uncorrected formation energy is 0.79 eV per atom.

---

No. 11
Material: Si4HgW
Method: DFT, PBE
State: optimized geometry

The structure belongs to space group F-43m (No. 216); the cell edges are 7.161, 7.161 and 7.161 Å and the angles 90.00°, 90.00° and 90.00°. The asymmetric unit holds Si at (0.124, 0.124, 0.376), Hg at (0.000, 0.000, 0.000) and W at (0.250, 0.250, 0.750).

As for the crystal system: cubic. The calculation puts the total energy at -5.1107 eV/atom. The value obtained for the uncorrected formation energy is 0.71 eV per atom.

---

No. 12
Material: SiHgW4
Method: DFT, PBE
State: optimized geometry

The structure belongs to space group F-43m (No. 216); the cell edges are 7.528, 7.528 and 7.528 Å and the angles 90.00°, 90.00° and 90.00°. The asymmetric unit holds Si at (0.000, 0.000, 0.000), Hg at (0.250, 0.250, 0.250) and W at (0.124, 0.124, 0.624).

As for the crystal system: cubic. The calculation puts the total energy at -8.7077 eV/atom. The value obtained for the uncorrected formation energy is 0.88 eV per atom.

---

Copy entry 4 word for word.
Material: SiHgW2
Method: DFT, PBE
State: optimized geometry

The structure belongs to space group Pmmm (No. 47); the cell edges are 3.165, 4.517 and 4.668 Å and the angles 90.00°, 90.00° and 90.00°. The asymmetric unit holds Si at (0.000, 0.000, 0.000), Hg at (0.500, 0.000, 0.500), W at (0.000, 0.500, 0.500) and W at (0.500, 0.500, 0.000).

The relative energy among the computed polymorphs comes out at 311 meV per atom. As for the crystal system: orthorhombic. The calculation puts the total energy at -7.1789 eV/atom. The value obtained for the uncorrected formation energy is 0.73 eV per atom.